{
  "formula": "Y2HgTe4",
  "functional": "PBE",
  "state": "optimized geometry",
  "dft_energy_ev_per_atom": -4.491,
  "crystal_system": "tetragonal",
  "lattice_angstrom": [[-3.2923, 3.2923, 6.6009], [3.2923, -3.2923, 6.6009], [3.2923, 3.2923, -6.6009]],
  "species": ["Hg", "Te", "Te", "Te", "Te", "Y", "Y"],
  "frac_coords": [[0.0000, 0.0000, 0.0000], [0.4014, 0.9097, 0.0437], [0.0903, 0.1339, 0.4917], [0.6422, 0.5986, 0.5083], [0.8661, 0.3578, 0.9563], [0.5000, 0.5000, 0.0000], [0.2500, 0.7500, 0.5000]]
}

{
  "formula": "RbHo2CuSe4",
  "functional": "PBE",
  "state": "optimized geometry",
  "dft_energy_ev_per_atom": -4.971,
  "crystal_system": "orthorhombic",
  "lattice_angstrom": [[5.6061, 4.2405, -2.3671], [-7.3085, -1.2620, 0.0844], [-1.2890, 8.2482, 11.7234]],
  "species": ["Cu", "Cu", "Ho", "Ho", "Ho", "Ho", "Rb", "Rb", "Se", "Se", "Se", "Se", "Se", "Se", "Se", "Se"],
  "frac_coords": [[0.6632, 0.3367, 0.2500], [0.3367, 0.6632, 0.7500], [0.1342, 0.8658, 0.0639], [0.1342, 0.8658, 0.4361], [0.8658, 0.1342, 0.5639], [0.8658, 0.1342, 0.9361], [0.3903, 0.6097, 0.2500], [0.6097, 0.3903, 0.7500], [0.5000, 0.5000, 0.0000], [0.7620, 0.2380, 0.1089], [0.0702, 0.9298, 0.2500], [0.7620, 0.2380, 0.3912], [0.5000, 0.5000, 0.5000], [0.2380, 0.7620, 0.6089], [0.9298, 0.0702, 0.7500], [0.2380, 0.7620, 0.8911]]
}